The following is a PBE calculation of an optimized crystal structure of CdIn2Re, from Alexandria.

Unit cell a=3.6367 b=4.6453 c=4.6453 alpha=90.00 beta=90.00 gamma=90.00
Fractional positions:
Re (0.5000, 0.5000, 0.0000)
Cd (0.5000, 0.0000, 0.5000)
In (0.0000, 0.0000, 0.0000)
In (0.0000, 0.5000, 0.5000)

DFT formation energy (eV/atom): 0.6156
Symmetry: P4/mmm (123)
Density of states at the Fermi level (states/eV per cell): 2.58
Size of the total moment (Bohr magnetons per cell): 0.00
Electronic total energy (eV/cell): -16.38